# 1
A relaxed LaSiRu2 crystal, computed with GGA-PBEsol.

Summary:
Formation energy from raw total energies = -0.331 eV/atom

Cell lengths 4.003, 4.134, 5.245 Å; angles 99.82, 90.00, 118.96 degrees
Sites, in units of the cell vectors:
Ru (0.305, 0.610, 0.373)
Ru (0.695, 0.390, 0.627)
La (0.500, 0.000, 0.000)
Si (0.000, 0.000, 0.500)

# 2
A relaxed DyGa3B4O12 crystal, computed with GGA-PBEsol.

Summary:
Formation energy from raw total energies = -2.410 eV/atom

Cell lengths 6.000, 6.000, 6.000 Å; angles 104.24, 104.24, 104.24 degrees
Sites, in units of the cell vectors:
B (0.000, 0.447, 0.553)
B (0.447, 0.553, 0.000)
B (0.553, 0.000, 0.447)
B (0.000, 0.000, 0.000)
O (0.709, 0.867, 0.471)
O (0.529, 0.133, 0.291)
O (0.854, 0.146, 0.000)
O (0.471, 0.709, 0.867)
O (0.000, 0.593, 0.407)
O (0.593, 0.407, 0.000)
O (0.407, 0.000, 0.593)
O (0.000, 0.854, 0.146)
O (0.291, 0.529, 0.133)
O (0.867, 0.471, 0.709)
O (0.133, 0.291, 0.529)
O (0.146, 0.000, 0.854)
Ga (0.050, 0.950, 0.500)
Ga (0.500, 0.050, 0.950)
Ga (0.950, 0.500, 0.050)
Dy (0.500, 0.500, 0.500)

# 3
A relaxed Li4Mn3Nb2Cr3O16 crystal, computed with GGA-PBEsol.

Summary:
Formation energy from raw total energies = -2.059 eV/atom

Cell lengths 5.809, 5.883, 9.603 Å; angles 92.00, 90.00, 119.59 degrees
Sites, in units of the cell vectors:
O (0.973, 0.501, 0.153)
O (0.485, 0.518, 0.659)
O (0.523, 0.046, 0.161)
O (0.002, 0.003, 0.694)
O (0.158, 0.316, 0.407)
O (0.332, 0.161, 0.908)
O (0.528, 0.501, 0.153)
O (0.151, 0.810, 0.408)
O (0.032, 0.518, 0.659)
O (0.332, 0.664, 0.886)
O (0.481, 0.961, 0.664)
O (0.668, 0.337, 0.385)
O (0.829, 0.161, 0.908)
O (0.997, 0.993, 0.196)
O (0.659, 0.810, 0.408)
O (0.839, 0.678, 0.898)
Mn (0.830, 0.168, 0.285)
Mn (0.338, 0.168, 0.285)
Mn (0.168, 0.337, 0.787)
Li (0.666, 0.333, 0.600)
Li (0.004, 0.008, 0.009)
Li (0.996, 0.992, 0.508)
Li (0.341, 0.681, 0.096)
Cr (0.830, 0.660, 0.285)
Cr (0.662, 0.831, 0.785)
Cr (0.168, 0.831, 0.785)
Nb (0.333, 0.665, 0.511)
Nb (0.679, 0.357, 0.008)

Repeat the second record exactly.
A relaxed DyGa3B4O12 crystal, computed with GGA-PBEsol.

Summary:
Formation energy from raw total energies = -2.410 eV/atom

Cell lengths 6.000, 6.000, 6.000 Å; angles 104.24, 104.24, 104.24 degrees
Sites, in units of the cell vectors:
B (0.000, 0.447, 0.553)
B (0.447, 0.553, 0.000)
B (0.553, 0.000, 0.447)
B (0.000, 0.000, 0.000)
O (0.709, 0.867, 0.471)
O (0.529, 0.133, 0.291)
O (0.854, 0.146, 0.000)
O (0.471, 0.709, 0.867)
O (0.000, 0.593, 0.407)
O (0.593, 0.407, 0.000)
O (0.407, 0.000, 0.593)
O (0.000, 0.854, 0.146)
O (0.291, 0.529, 0.133)
O (0.867, 0.471, 0.709)
O (0.133, 0.291, 0.529)
O (0.146, 0.000, 0.854)
Ga (0.050, 0.950, 0.500)
Ga (0.500, 0.050, 0.950)
Ga (0.950, 0.500, 0.050)
Dy (0.500, 0.500, 0.500)

Which of these has the highest formation energy from raw total energies? LaSiRu2